! Tl7SnSb4 GGA-PBE relaxed; values from VASP
! **Energy relative to the elements, uncorrected**: 12 kJ/mol of atoms
! **DOS(E_F)**: 0.497 states/eV/atom
! **Calculated total energy**: -35.5 eV for the cell shown
! **Volume**: 33.6 Å³/atom
! **SG**: C2/m, No. 12
&SYSTEM
  ibrav = 0, nat = 12, ntyp = 3
/
ATOMIC_SPECIES
Tl 204.38 Tl.upf
Sn 118.71 Sn.upf
Sb 121.76 Sb.upf
CELL_PARAMETERS angstrom
7.443 -3.029 0.000
7.443 3.029 0.000
-7.037 0.000 8.939
ATOMIC_POSITIONS crystal
Tl 0.000 0.000 0.000
Tl 0.169 0.169 0.891
Tl 0.259 0.259 0.686
Tl 0.458 0.458 0.632
Tl 0.542 0.542 0.368
Tl 0.741 0.741 0.314
Tl 0.831 0.831 0.109
Sn 0.500 0.500 0.000
Sb 0.128 0.128 0.347
Sb 0.287 0.287 0.264
Sb 0.713 0.713 0.736
Sb 0.872 0.872 0.653